(1)
Entry from Alexandria via LeMat-Bulk: an optimized crystal structure of LaTiMnSe2 (GGA-PBE).

a = 4.9723 Å, b = 4.6271 Å, c = 4.9723 Å
α = 90.00°, β = 90.00°, γ = 90.00°
Closest atoms and distances in Å follow each position.
Fractional coordinates of all 5 atoms:
Mn1 0.0000 0.0000 0.0000  2 La 2.31, 4 Se 2.49
Ti1 0.5000 0.5000 0.5000  8 Se 3.40, 4 La 3.52
Se1 0.0000 0.0000 0.5000  2 Mn 2.49
Se2 0.5000 0.0000 0.0000  2 Mn 2.49
La1 0.0000 0.5000 0.0000  2 Mn 2.31

Summary:
**SG**: No. 123
**Theoretical density**: 5.8 Mg/m³
**Total magnetic moment**: 4.200 μB/cell
**ΔE_f (raw)**: 0.03 eV/atom
**Crystal system**: tetragonal
**Total energy**: -28.8 eV for the cell shown

***

(2)
Entry from Alexandria via LeMat-Bulk: an optimized crystal structure of MgNpRu2 (GGA-PBE).

a = 3.3547 Å, b = 4.4888 Å, c = 4.4888 Å
α = 90.00°, β = 90.00°, γ = 90.00°
Closest atoms and distances in Å follow each position.
Fractional coordinates of all 4 atoms:
Np1 0.5000 0.5000 0.5000  8 Ru 2.80
Ru1 0.0000 0.0000 0.5000  4 Mg 2.80, 4 Np 2.80
Ru2 0.0000 0.5000 0.0000  4 Mg 2.80, 4 Np 2.80
Mg1 0.5000 0.0000 0.0000  8 Ru 2.80

Summary:
**ΔH_f (0 K)**: -0.50 eV per formula unit
**SG**: No. 123
**Theoretical density**: 11.4 Mg/m³
**Total magnetic moment**: 2.079 μB/cell
**Crystal system**: tetragonal
**Total energy**: -33.6 eV for the cell shown

***

(3)
Entry from Alexandria via LeMat-Bulk: an optimized crystal structure of SrTl2Cu2Br6 (GGA-PBE).

a = 7.9369 Å, b = 7.8628 Å, c = 8.1585 Å
α = 115.87°, β = 90.00°, γ = 120.31°
Closest atoms and distances in Å follow each position.
Fractional coordinates of all 11 atoms:
Sr1 0.5000 0.0000 0.5000  6 Br 3.05-3.07
Tl1 0.7323 0.4646 0.1932  5 Br 3.37-3.40
Tl2 0.2677 0.5354 0.8068  5 Br 3.37-3.40
Cu1 0.9542 0.9083 0.7835  3 Br 2.36-2.40
Cu2 0.0458 0.0917 0.2165  3 Br 2.36-2.40
Br1 0.7526 0.5053 0.6219  1 Cu 2.36
Br2 0.1785 0.8663 0.1780  1 Cu 2.40
Br3 0.3122 0.1337 0.8220  1 Cu 2.40
Br4 0.8215 0.1337 0.8220  1 Cu 2.40
Br5 0.6878 0.8663 0.1780  1 Cu 2.40
Br6 0.2474 0.4947 0.3781  1 Cu 2.36

Summary:
**SG**: No. 12
**Theoretical density**: 4.8 Mg/m³
**Total magnetic moment**: 0.160 μB/cell
**ΔE_f (raw)**: -0.94 eV/atom
**Crystal system**: monoclinic
**Total energy**: -35.0 eV for the cell shown

***

(4)
Entry from Alexandria via LeMat-Bulk: an optimized crystal structure of Zr2CuC (GGA-PBE).

a = 6.3766 Å, b = 6.3766 Å, c = 5.6615 Å
α = 55.73°, β = 55.73°, γ = 90.00°
Closest atoms and distances in Å follow each position.
Fractional coordinates of all 8 atoms:
C1 0.5000 0.5000 0.0000  4 Zr 2.19
C2 0.2500 0.7500 0.5000  4 Zr 2.19
Cu1 0.0000 0.0000 0.0000  4 Zr 2.66
Cu2 0.7500 0.2500 0.5000  4 Zr 2.66
Zr1 0.5691 0.1250 0.2500  2 C 2.19
Zr2 0.1809 0.6250 0.2500  2 C 2.19
Zr3 0.3750 0.4309 0.7500  2 C 2.19
Zr4 0.8750 0.8191 0.7500  2 C 2.19

Summary:
**ΔH_f (0 K)**: 0.14 eV per formula unit
**SG**: No. 122
**Theoretical density**: 6.2 Mg/m³
**Total magnetic moment**: 0.000 μB/cell
**Crystal system**: tetragonal
**Total energy**: -60.6 eV for the cell shown

***

(5)
Entry from Alexandria via LeMat-Bulk: an optimized crystal structure of Y2CdIrC (GGA-PBE).

a = 5.0794 Å, b = 5.0794 Å, c = 3.9035 Å
α = 90.00°, β = 90.00°, γ = 90.00°
Closest atoms and distances in Å follow each position.
Fractional coordinates of all 5 atoms:
Y1 0.0000 0.5000 0.0000  2 C 2.54
Y2 0.5000 0.0000 0.0000  2 C 2.54
C1 0.0000 0.0000 0.0000  2 Ir 1.95
Ir1 0.0000 0.0000 0.5000  2 C 1.95
Cd1 0.5000 0.5000 0.5000  8 Y 3.20

Summary:
**ΔH_f (0 K)**: -2.53 eV per formula unit
**SG**: No. 123
**Theoretical density**: 8.2 Mg/m³
**Total magnetic moment**: 0.000 μB/cell
**Crystal system**: tetragonal
**Total energy**: -34.5 eV for the cell shown

***

(6)
Entry from Alexandria via LeMat-Bulk: an optimized crystal structure of PmGa2BO6 (GGA-PBE).

a = 6.0521 Å, b = 6.8726 Å, c = 6.8726 Å
α = 79.26°, β = 68.03°, γ = 68.03°
Closest atoms and distances in Å follow each position.
Fractional coordinates of all 20 atoms:
Pm1 0.2500 0.8255 0.1745  8 O 2.35-2.58
Pm2 0.7500 0.1745 0.8255  8 O 2.35-2.58
Ga1 0.3608 0.7685 0.6327  4 O 1.83-1.90
Ga2 0.1392 0.3673 0.2315  4 O 1.83-1.90
Ga3 0.6392 0.2315 0.3673  4 O 1.83-1.90
Ga4 0.8608 0.6327 0.7685  4 O 1.83-1.90
B1 0.2500 0.1822 0.8178  4 O 1.45-1.51
B2 0.7500 0.8178 0.1822  4 O 1.45-1.51
O1 0.1964 0.9842 0.8211  1 B 1.51
O2 0.3036 0.1789 0.0158  1 B 1.51
O3 0.8036 0.0158 0.1789  1 B 1.51
O4 0.6964 0.8211 0.9842  1 B 1.51
O5 0.5175 0.8179 0.3521  1 B 1.45
O6 0.9825 0.6479 0.1821  1 B 1.45
O7 0.4825 0.1821 0.6479  1 B 1.45
O8 0.0175 0.3521 0.8179  1 B 1.45
O9 0.0782 0.7636 0.5776  2 Ga 1.85-1.90
O10 0.4218 0.4224 0.2364  2 Ga 1.85-1.90
O11 0.9218 0.2364 0.4224  2 Ga 1.85-1.90
O12 0.5782 0.5776 0.7636  2 Ga 1.85-1.90

Summary:
**SG**: No. 15
**Theoretical density**: 5.3 Mg/m³
**Total magnetic moment**: 0.000 μB/cell
**ΔE_f (raw)**: -2.41 eV/atom
**Crystal system**: monoclinic
**Total energy**: -142.7 eV for the cell shown

***

(7)
Entry from Alexandria via LeMat-Bulk: an optimized crystal structure of Ho2AlB2Os5 (GGA-PBE).

a = 3.0872 Å, b = 9.6440 Å, c = 9.6440 Å
α = 90.00°, β = 90.00°, γ = 90.00°
Closest atoms and distances in Å follow each position.
Fractional coordinates of all 20 atoms:
Ho1 0.0000 0.6782 0.1782  3 B 2.70-2.96, 10 Os 2.88-2.99
Ho2 0.0000 0.3218 0.8218  3 B 2.70-2.96, 10 Os 2.88-2.99
Ho3 0.0000 0.1782 0.3218  3 B 2.70-2.96, 10 Os 2.88-2.99
Ho4 0.0000 0.8218 0.6782  3 B 2.70-2.96, 10 Os 2.88-2.99
Al1 0.0000 0.0000 0.0000  8 Os 2.68
Al2 0.0000 0.5000 0.5000  8 Os 2.68
B1 0.0000 0.1236 0.6236  6 Os 2.24-2.29
B2 0.0000 0.8764 0.3764  6 Os 2.24-2.29
B3 0.0000 0.6236 0.8764  6 Os 2.24-2.29
B4 0.0000 0.3764 0.1236  6 Os 2.24-2.29
Os1 0.5000 0.2179 0.0663  2 B 2.24
Os2 0.5000 0.7821 0.9337  2 B 2.24
Os3 0.5000 0.0663 0.7821  2 B 2.24
Os4 0.5000 0.7179 0.4337  2 B 2.24
Os5 0.5000 0.9337 0.2179  2 B 2.24
Os6 0.5000 0.2821 0.5663  2 B 2.24
Os7 0.5000 0.5663 0.7179  2 B 2.24
Os8 0.5000 0.4337 0.2821  2 B 2.24
Os9 0.5000 0.5000 0.0000  4 B 2.29
Os10 0.5000 0.0000 0.5000  4 B 2.29

Summary:
**ΔH_f (0 K)**: -3.16 eV per formula unit
**SG**: No. 127
**Theoretical density**: 15.4 Mg/m³
**Total magnetic moment**: 0.000 μB/cell
**Crystal system**: tetragonal
**Total energy**: -171.1 eV for the cell shown

***

(8)
Entry from Alexandria via LeMat-Bulk: an optimized crystal structure of La2CdAu2 (GGA-PBE).

a = 4.0183 Å, b = 8.1952 Å, c = 8.1952 Å
α = 90.00°, β = 90.00°, γ = 90.00°
Closest atoms and distances in Å follow each position.
Fractional coordinates of all 10 atoms:
Cd1 0.0000 0.0000 0.0000  4 Au 3.22
Cd2 0.0000 0.5000 0.5000  4 Au 3.22
Au1 0.0000 0.3716 0.8716  1 Au 2.98, 6 La 3.06-3.20, 2 Cd 3.22
Au2 0.0000 0.1284 0.3716  1 Au 2.98, 6 La 3.06-3.20, 2 Cd 3.22
Au3 0.0000 0.8716 0.6284  1 Au 2.98, 6 La 3.06-3.20, 2 Cd 3.22
Au4 0.0000 0.6284 0.1284  1 Au 2.98, 6 La 3.06-3.20, 2 Cd 3.22
La1 0.5000 0.6720 0.8280  6 Au 3.06-3.20
La2 0.5000 0.8280 0.3280  6 Au 3.06-3.20
La3 0.5000 0.1720 0.6720  6 Au 3.06-3.20
La4 0.5000 0.3280 0.1720  6 Au 3.06-3.20

Summary:
**ΔH_f (0 K)**: -3.75 eV per formula unit
**SG**: No. 127
**Theoretical density**: 9.6 Mg/m³
**Total magnetic moment**: 0.000 μB/cell
**Crystal system**: tetragonal
**Total energy**: -42.1 eV for the cell shown

***

(9)
Entry from Alexandria via LeMat-Bulk: an optimized crystal structure of ReNiRu2 (GGA-PBE).

a = 2.7004 Å, b = 3.7780 Å, c = 5.3183 Å
α = 90.00°, β = 90.00°, γ = 90.00°
Closest atoms and distances in Å follow each position.
Fractional coordinates of all 4 atoms:
Ni1 0.5000 0.5000 0.2500  8 Ru 2.66, 2 Re 2.66, 2 Ni 2.70
Re1 0.5000 0.5000 0.7500  2 Ni 2.66, 8 Ru 2.69, 2 Re 2.70
Ru1 0.0000 0.0000 0.0072  4 Ru 2.58-2.74, 4 Ni 2.66, 4 Re 2.69
Ru2 0.0000 0.0000 0.4928  4 Ru 2.58-2.74, 4 Ni 2.66, 4 Re 2.69

Summary:
**ΔH_f (0 K)**: 0.28 eV per formula unit
**SG**: No. 47
**Theoretical density**: 13.7 Mg/m³
**Total magnetic moment**: 0.000 μB/cell
**Energy above the lowest structure with this stoichiometry**: 0.009 eV per atom
**Crystal system**: orthorhombic
**Total energy**: -36.5 eV for the cell shown

***

(10)
Entry from Alexandria via LeMat-Bulk: an optimized crystal structure of AcLaPbCl (GGA-PBE).

a = 5.6045 Å, b = 5.6045 Å, c = 5.6045 Å
α = 60.00°, β = 60.00°, γ = 60.00°
Closest atoms and distances in Å follow each position.
Fractional coordinates of all 4 atoms:
Pb1 0.2500 0.2500 0.2500  4 Ac 3.43, 4 La 3.43
Ac1 0.5000 0.5000 0.5000  4 Cl 3.43, 4 Pb 3.43
Cl1 0.7500 0.7500 0.7500  4 Ac 3.43, 4 La 3.43
La1 0.0000 0.0000 0.0000  4 Pb 3.43, 4 Cl 3.43

Summary:
**SG**: No. 216
**Theoretical density**: 8.1 Mg/m³
**Total magnetic moment**: 0.002 μB/cell
**ΔE_f (raw)**: -0.98 eV/atom
**Crystal system**: cubic
**Total energy**: -18.5 eV for the cell shown

***

(11)
Entry from Alexandria via LeMat-Bulk: an optimized crystal structure of TiMnPb (GGA-PBE).

a = 7.5336 Å, b = 3.0989 Å, c = 11.1837 Å
α = 90.00°, β = 119.54°, γ = 90.00°
Closest atoms and distances in Å follow each position.
Fractional coordinates of all 12 atoms:
Pb1 0.2522 0.0000 0.4260  3 Mn 2.77-2.95, 4 Ti 2.91-3.09
Pb2 0.2522 0.5000 0.9260  3 Mn 2.77-2.95, 4 Ti 2.91-3.09
Pb3 0.6400 0.0000 0.2368  1 Mn 2.76, 1 Ti 2.84
Pb4 0.6400 0.5000 0.7368  1 Mn 2.76, 1 Ti 2.84
Mn1 0.9337 0.0000 0.1580  1 Mn 2.02
Mn2 0.9337 0.5000 0.6580  1 Mn 2.02
Mn3 0.9826 0.0000 0.9959  1 Mn 2.02
Mn4 0.9826 0.5000 0.4959  1 Mn 2.02
Ti1 0.6814 0.0000 0.5035  2 Mn 2.40
Ti2 0.6814 0.5000 0.0035  2 Mn 2.40
Ti3 0.2371 0.0000 0.6821  4 Mn 2.54-2.66
Ti4 0.2371 0.5000 0.1821  4 Mn 2.54-2.66

Summary:
**ΔH_f (0 K)**: 0.69 eV per formula unit
**SG**: No. 8
**Theoretical density**: 9.1 Mg/m³
**Total magnetic moment**: 0.001 μB/cell
**Crystal system**: monoclinic
**Total energy**: -80.3 eV for the cell shown

***

(12)
Entry from Alexandria via LeMat-Bulk: an optimized crystal structure of YRe2Sb (GGA-PBE).

a = 5.2445 Å, b = 5.2445 Å, c = 5.2445 Å
α = 133.02°, β = 133.02°, γ = 68.62°
Closest atoms and distances in Å follow each position.
Fractional coordinates of all 4 atoms:
Re1 0.0000 0.0000 0.0000  4 Sb 2.96, 4 Re 3.01, 4 Y 3.01
Re2 0.2500 0.7500 0.5000  4 Y 2.96, 4 Sb 3.01, 4 Re 3.01
Sb1 0.5000 0.5000 0.0000  8 Re 2.96-3.01, 4 Y 3.01
Y1 0.7500 0.2500 0.5000  8 Re 2.96-3.01, 4 Sb 3.01

Summary:
**SG**: No. 119
**Theoretical density**: 12.8 Mg/m³
**Total magnetic moment**: 0.001 μB/cell
**ΔE_f (raw)**: 0.46 eV/atom
**Crystal system**: tetragonal
**Total energy**: -33.6 eV for the cell shown